[1]
{
  "formula": "Sr2HSe",
  "functional": "PBE",
  "state": "relaxed",
  "dos_ef_per_ev_atom": 0.836,
  "e_above_lowest_polymorph_mev_per_atom": 259,
  "volume_a3_per_cell": 97.5,
  "lattice_angstrom": [[0.0000, 3.6526, 3.6526], [3.6526, 0.0000, 3.6526], [3.6526, 3.6526, 0.0000]],
  "species": ["Sr", "Sr", "H", "Se"],
  "fractional_positions": [[0.2500, 0.2500, 0.2500], [0.7500, 0.7500, 0.7500], [0.0000, 0.0000, 0.0000], [0.5000, 0.5000, 0.5000]]
}

---

[2]
{
  "formula": "Mo2AsRh",
  "functional": "PBE",
  "state": "relaxed",
  "dos_ef_per_ev_atom": 0.994,
  "volume_a3_per_cell": 60.6,
  "delta_e_f_mev_per_atom": 48,
  "lattice_angstrom": [[-1.9293, 1.9293, 4.0728], [1.9293, -1.9293, 4.0728], [1.9293, 1.9293, -4.0728]],
  "species": ["Mo", "Mo", "As", "Rh"],
  "fractional_positions": [[0.0000, 0.0000, 0.0000], [0.7500, 0.2500, 0.5000], [0.5000, 0.5000, 0.0000], [0.2500, 0.7500, 0.5000]]
}